Computed, not measured: a geometry-optimized Ti3Mo2W structure at the PBE-GGA level of DFT.

Output
**Offset from the most stable computed form**: 171 meV per atom
**Energy relative to the elements**: 0.269 eV per atom

a = 3.0981 Å, b = 7.7265 Å, c = 9.2142 Å
α = 72.26°, β = 80.32°, γ = 78.43°
Last column: nearest neighbours and their distance in Å.
Fractional positions:
Ti (0.0687, 0.1266, 0.7360)  2 Mo 2.59, 2 Ti 2.82
Ti (0.9313, 0.8734, 0.2640)  2 Mo 2.59, 2 Ti 2.82
Ti (0.5760, 0.8310, 0.0169)  2 Ti 2.49-2.73, 2 Mo 2.56
Ti (0.4240, 0.1690, 0.9831)  2 Ti 2.49-2.73, 2 Mo 2.56
Ti (0.7440, 0.7812, 0.7307)  3 Mo 2.54-2.55, 1 Ti 2.73
Ti (0.2560, 0.2188, 0.2693)  3 Mo 2.54-2.55, 1 Ti 2.73
Mo (0.8317, 0.4471, 0.8896)  3 Ti 2.54-2.56, 2 W 2.64, 2 Mo 2.82
Mo (0.1683, 0.5529, 0.1104)  3 Ti 2.54-2.56, 2 W 2.64, 2 Mo 2.82
Mo (0.6688, 0.1615, 0.5010)  4 Ti 2.55-2.59, 1 W 2.68
Mo (0.3312, 0.8385, 0.4990)  4 Ti 2.55-2.59, 1 W 2.68
W (0.4367, 0.4782, 0.6484)  1 W 2.62, 3 Mo 2.64-2.68
W (0.5633, 0.5218, 0.3516)  1 W 2.62, 3 Mo 2.64-2.68